## FeNiGe2 (PBE-GGA)

Data for a relaxed FeNiGe2 crystal.

POSCAR file:
```
FeNiGe2
1.0
3.726 0.000 0.000
1.863 3.227 0.000
1.863 1.076 4.679
Fe Ni Ge
1 1 2
direct
0.678 0.678 0.967 Fe
0.490 0.490 0.531 Ni
0.074 0.074 0.779 Ge
0.259 0.259 0.223 Ge
```

Properties
- ΔH_f (0 K) (eV per formula unit) = 0.05
- SG = No. 160

***

## Tl2NiRh2Se6 (PBE-GGA)

Data for a relaxed Tl2NiRh2Se6 crystal.

POSCAR file:
```
Tl2NiRh2Se6
1.0
-1.188 -6.280 -1.272
5.426 1.727 3.168
-4.996 0.990 5.657
Tl Ni Rh Se
2 1 2 6
direct
0.828 0.172 0.000 Tl
0.172 0.828 0.000 Tl
0.000 0.000 0.500 Ni
0.331 0.669 0.500 Rh
0.669 0.331 0.500 Rh
0.737 0.737 0.669 Se
0.061 0.386 0.671 Se
0.263 0.263 0.331 Se
0.386 0.061 0.671 Se
0.939 0.614 0.329 Se
0.614 0.939 0.329 Se
```

Properties
- SG = No. 12
- E_form (uncorrected) (meV/atom) = -358

***

## SrCe3Nd2Te6 (PBE-GGA)

Data for a relaxed SrCe3Nd2Te6 crystal.

POSCAR file:
```
SrCe3Nd2Te6
1.0
-1.807 -4.126 0.065
8.336 -3.662 -0.642
-0.615 2.882 9.731
Sr Ce Nd Te
1 3 2 6
direct
0.500 0.000 0.000 Sr
0.500 0.500 0.000 Ce
0.834 0.170 0.668 Ce
0.166 0.830 0.332 Ce
0.829 0.659 0.658 Nd
0.171 0.341 0.342 Nd
0.331 0.915 0.663 Te
0.665 0.584 0.330 Te
0.669 0.085 0.337 Te
0.002 0.255 0.004 Te
0.998 0.745 0.996 Te
0.335 0.416 0.670 Te
```

Properties
- SG = No. 12
- E_form (uncorrected) (meV/atom) = -1431

***

## Nd2Ru2O7 (PBE-GGA)

Data for a relaxed Nd2Ru2O7 crystal.

POSCAR file:
```
Nd2Ru2O7
1.0
7.381 0.000 0.000
3.691 6.393 0.000
3.691 2.131 6.027
Nd Ru O
4 4 14
direct
0.625 0.125 0.125 Nd
0.125 0.625 0.125 Nd
0.125 0.125 0.625 Nd
0.125 0.125 0.125 Nd
0.125 0.625 0.625 Ru
0.625 0.125 0.625 Ru
0.625 0.625 0.125 Ru
0.625 0.625 0.625 Ru
0.704 0.704 0.296 O
0.296 0.296 0.704 O
0.704 0.296 0.704 O
0.296 0.704 0.296 O
0.296 0.704 0.704 O
0.704 0.296 0.296 O
0.546 0.546 0.954 O
0.954 0.954 0.546 O
0.546 0.954 0.546 O
0.954 0.546 0.954 O
0.954 0.546 0.546 O
0.546 0.954 0.954 O
0.250 0.250 0.250 O
0.000 0.000 0.000 O
```

Properties
- SG = No. 227
- E_form (uncorrected) (meV/atom) = -2060

***

## Mn2AsI (PBE-GGA)

Data for a relaxed Mn2AsI crystal.

POSCAR file:
```
Mn2AsI
1.0
4.186 0.462 1.269
0.930 1.841 3.885
1.590 -2.465 3.277
I As Mn
1 1 2
direct
0.500 0.500 0.500 I
0.000 0.000 0.000 As
0.250 0.250 0.250 Mn
0.750 0.750 0.750 Mn
```

Properties
- SG = No. 225
- E_form (uncorrected) (meV/atom) = 773

***

## Rb2Au2S (PBE-GGA)

Data for a relaxed Rb2Au2S crystal.

POSCAR file:
```
Rb2Au2S
1.0
-2.749 -2.310 1.537
1.609 -3.089 -1.767
5.295 -4.284 7.994
S Au Rb
1 2 2
direct
0.000 0.000 0.000 S
0.750 0.250 0.500 Au
0.250 0.750 0.500 Au
0.407 0.407 0.185 Rb
0.593 0.593 0.815 Rb
```

Properties
- SG = No. 139
- E_form (uncorrected) (meV/atom) = -427

***

## LiTiGa2 (PBE-GGA)

Data for a relaxed LiTiGa2 crystal.

POSCAR file:
```
LiTiGa2
1.0
-3.376 -0.751 -1.559
-1.108 -1.914 3.323
-1.445 3.412 1.484
Li Ga Ti
1 2 1
direct
0.500 0.000 0.000 Li
0.000 0.000 0.500 Ga
0.000 0.500 0.000 Ga
0.500 0.500 0.500 Ti
```

Properties
- ΔH_f (0 K) (eV per formula unit) = -1.58
- SG = No. 123

***

## K2AlIn7 (PBE-GGA)

Data for a relaxed K2AlIn7 crystal.

POSCAR file:
```
K2AlIn7
1.0
4.852 0.000 0.000
0.000 4.852 0.000
0.000 0.000 12.761
K Al In
2 1 7
direct
0.500 0.000 0.756 K
0.000 0.500 0.244 K
0.500 0.500 0.000 Al
0.000 0.500 0.869 In
0.500 0.000 0.357 In
0.500 0.000 0.131 In
0.000 0.500 0.643 In
0.000 0.000 0.500 In
0.000 0.000 0.000 In
0.500 0.500 0.500 In
```

Properties
- ΔH_f (0 K) (eV per formula unit) = -0.80
- SG = No. 115

***

## Tb4HgIr (PBE-GGA)

Data for a relaxed Tb4HgIr crystal.

POSCAR file:
```
Tb4HgIr
1.0
-2.173 -4.983 -4.377
6.678 -1.370 -1.756
0.513 -4.706 5.622
Tb Hg Ir
8 2 2
direct
0.870 0.647 0.182 Tb
0.630 0.147 0.818 Tb
0.325 0.342 0.358 Tb
0.175 0.842 0.642 Tb
0.130 0.353 0.818 Tb
0.370 0.853 0.182 Tb
0.675 0.658 0.642 Tb
0.825 0.158 0.358 Tb
0.000 0.000 0.000 Hg
0.500 0.500 0.000 Hg
0.500 0.000 0.500 Ir
0.000 0.500 0.500 Ir
```

Properties
- ΔH_f (0 K) (eV per formula unit) = -2.35
- SG = No. 14

***

## Pr3SmSi2 (PBE-GGA)

Data for a relaxed Pr3SmSi2 crystal.

POSCAR file:
```
Pr3SmSi2
1.0
-2.258 2.286 8.278
2.258 -2.286 8.278
2.258 2.286 -8.278
Pr Sm Si
3 1 2
direct
0.500 0.500 0.000 Pr
0.318 0.818 0.500 Pr
0.682 0.182 0.500 Pr
0.000 0.000 0.000 Sm
0.867 0.367 0.500 Si
0.133 0.633 0.500 Si
```

Properties
- SG = No. 71
- E_form (uncorrected) (meV/atom) = -465

***

## LiZnBi (PBE-GGA)

Data for a relaxed LiZnBi crystal.

POSCAR file:
```
LiZnBi
1.0
4.462 -0.004 0.007
2.187 4.075 0.005
2.036 0.893 7.376
Li Zn Bi
2 2 2
direct
0.500 0.000 0.000 Li
0.000 0.500 0.500 Li
0.629 0.099 0.621 Zn
0.371 0.901 0.379 Zn
0.753 0.293 0.223 Bi
0.247 0.707 0.777 Bi
```

Properties
- ΔH_f (0 K) (eV per formula unit) = -0.62
- SG = No. 2

***

## KNa2NdI6 (PBE-GGA)

Data for a relaxed KNa2NdI6 crystal.

POSCAR file:
```
KNa2NdI6
1.0
8.239 0.001 0.001
4.121 7.135 0.001
4.120 2.379 7.537
K Na Nd I
1 2 1 6
direct
0.812 0.812 0.563 K
0.515 0.515 0.454 Na
0.005 0.005 0.986 Na
0.326 0.326 0.023 Nd
0.584 0.243 0.239 I
0.243 0.933 0.239 I
0.933 0.585 0.239 I
0.374 0.728 0.757 I
0.728 0.141 0.757 I
0.141 0.374 0.757 I
```

Properties
- SG = No. 146
- E_form (uncorrected) (meV/atom) = -1357

***

no.,V (Å³/atom)
1,14.06
2,24.22
3,32.96
4,12.93
5,15.04
6,30.91
7,15.11
8,30.04
9,30.06
10,28.49
11,22.36
12,44.30